1.
5
Lattice="5.1429 0.0000 0.0000 0.0000 5.6814 0.0000 0.0000 0.0000 5.1429" Properties=species:S:1:pos:R:3 comment="SrYZn2Cd | the Alexandria database | GGA-PBE | optimized geometry" magnetic_moment_mub_per_fu=0.00 ef_ev_per_atom=0.277 spacegroup="P4/mmm (123)" pbc="T T T"
Y 0.0000 2.8407 0.0000
Sr 2.5715 2.8407 2.5715
Zn 0.0000 0.0000 2.5715
Zn 2.5715 0.0000 0.0000
Cd 0.0000 0.0000 0.0000



2.
8
Lattice="-3.1080 2.3652 0.2184 -1.4929 -2.2248 2.8501 2.5334 5.7770 8.5208" Properties=species:S:1:pos:R:3 comment="YZnW2 | the Alexandria database | GGA-PBE | optimized geometry" magnetic_moment_mub_per_fu=0.00 ef_ev_per_atom=0.737 spacegroup="I-42d (122)" pbc="T T T"
Y 0.0000 0.0000 0.0000
Y -1.4375 4.1062 5.1367
Zn -2.3004 0.0702 1.5343
Zn -0.6299 1.8112 6.4526
W 0.0254 1.4868 2.5161
W -2.2093 1.5070 4.0457
W -0.5559 3.2965 8.9363
W -1.3950 5.5445 7.6806



3.
4
Lattice="-3.0452 -2.4805 -3.1870 1.9717 -2.7116 -3.7872 -0.2176 -5.0517 0.1261" Properties=species:S:1:pos:R:3 comment="LiCeInGa | the Alexandria database | GGA-PBE | optimized geometry" magnetic_moment_mub_per_fu=0.75 ef_ev_per_atom=-0.341 spacegroup="F-43m (216)" pbc="T T T"
Li -0.6456 -5.1219 -3.4240
Ga -0.3228 -2.5609 -1.7120
Ce 0.0000 0.0000 0.0000
In -0.9684 -7.6828 -5.1360



4.
5
Lattice="-0.3176 -0.6829 -3.8690 -0.4901 -3.8444 0.7188 -9.0451 -1.0689 -1.0767" Properties=species:S:1:pos:R:3 comment="Ba2Pd2S | the Alexandria database | GGA-PBE | optimized geometry" raw_formation_energy_ev_per_atom=-0.95 magnetic_moment_mub_per_fu=0.00 spacegroup="I4/mmm (139)" pbc="T T T"
S 0.0000 0.0000 0.0000
Ba -2.2008 -2.0152 -1.4714
Ba -7.6519 -3.5810 -2.7554
Pd -4.8833 -2.0077 -3.2604
Pd -4.9695 -3.5885 -0.9665



5.
4
Lattice="-1.6006 -1.5205 2.9486 1.9767 -2.1014 2.2901 2.7607 8.0106 7.9302" Properties=species:S:1:pos:R:3 comment="La2GdIn | the Alexandria database | GGA-PBE | optimized geometry" magnetic_moment_mub_per_fu=7.64 ef_ev_per_atom=-0.107 spacegroup="R-3m (166)" pbc="T T T"
Gd 0.0000 0.0000 0.0000
In 1.5684 2.1943 6.5844
La 0.8143 1.2025 3.3629
La 2.3225 3.1862 9.8060



6.
4
Lattice="5.0147 0.0000 0.0000 2.5073 4.3428 0.0000 2.5073 1.4476 4.0944" Properties=species:S:1:pos:R:3 comment="GdYZnCu | the Alexandria database | GGA-PBE | optimized geometry" magnetic_moment_mub_per_fu=7.14 ef_ev_per_atom=-0.276 spacegroup="F-43m (216)" pbc="T T T"
Y 7.5220 4.3428 3.0708
Zn 5.0147 2.8952 2.0472
Gd 2.5073 1.4476 1.0236
Cu 0.0000 0.0000 0.0000



7.
11
Lattice="-5.6468 -1.8506 -3.7546 2.4970 -3.7776 5.3762 0.0115 5.2646 4.6575" Properties=species:S:1:pos:R:3 comment="NdPd4Au6 | the Alexandria database | GGA-PBE | optimized geometry" magnetic_moment_mub_per_fu=0.00 ef_ev_per_atom=-0.063 spacegroup="I-42m (121)" pbc="T T T"
Nd 0.0000 0.0000 0.0000
Pd 0.2540 2.7003 3.2524
Pd -1.8648 -0.3345 2.2403
Pd 1.4593 -1.6847 3.6009
Pd -0.4784 0.4423 7.2192
Au 1.9098 -0.5210 6.1893
Au 1.1283 2.3221 5.9633
Au -3.2763 -0.9160 -0.1941
Au -2.8177 1.7070 0.4514
Au -0.3918 0.2384 4.3543
Au -1.5749 -2.8141 0.8108



8.
4
Lattice="-0.7636 -3.5096 0.7275 0.1743 -2.5046 -2.6695 9.9733 -3.7418 1.6466" Properties=species:S:1:pos:R:3 comment="Pr2ThZn | the Alexandria database | GGA-PBE | optimized geometry" magnetic_moment_mub_per_fu=0.00 ef_ev_per_atom=-0.016 spacegroup="R-3m (166)" pbc="T T T"
Pr 7.2868 -7.3595 -0.1655
Pr 2.0973 -2.3965 -0.1300
Zn 0.0000 0.0000 0.0000
Th 4.6921 -4.8780 -0.1477